Record 1
Below is a relaxed structure of Nd5Y6Th2, with properties calculated at the GGA-PBE level.

Its formation energy is 11 kJ/mol of atoms. The value obtained for the total energy is -152.02 eV for the cell shown. As for the calculated volume: 886.6 Å³/cell.

It has space group Pbam (No. 55), with a = 11.648 Å, b = 21.079 Å, c = 3.611 Å, α = 90.00°, β = 90.00° and γ = 90.00°. The inequivalent atoms are Nd at (0.000, 0.000, 0.000), Nd at (0.065, 0.293, 0.000), Nd at (0.192, 0.577, 0.000), Y at (0.065, 0.147, 0.500), Y at (0.079, 0.436, 0.500), Y at (0.186, 0.876, 0.000) and Th at (0.188, 0.734, 0.500).

---

Record 2
Below is a relaxed structure of Ac3LaPr2Te6, with properties calculated at the GGA-PBE level.

The value obtained for the total energy is -127.12 eV for the cell shown. The formation energy (no corrections) is -1.492 eV per atom. As for the calculated volume: 848.4 Å³/cell.

It has space group C2/m (No. 12), with a = 20.240 Å, b = 4.623 Å, c = 9.328 Å, α = 90.00°, β = 103.61° and γ = 90.00°. The inequivalent atoms are Ac at (0.000, 0.000, 0.000), Ac at (0.167, 0.500, 0.332), La at (0.000, 0.000, 0.500), Pr at (0.167, 0.500, 0.834), Te at (0.003, 0.500, 0.745), Te at (0.165, 0.000, 0.590) and Te at (0.169, 0.000, 0.076).